FeCo3I: optimized geometry, PBE.

Cell and atoms, written as POSCAR:
```
FeCo3I
1.0
4.418 0.000 0.000
0.000 4.418 0.000
0.000 0.000 4.418
Fe Co I
1 3 1
direct
0.000 0.000 0.000
0.000 0.000 0.500
0.000 0.500 0.000
0.500 0.000 0.000
0.500 0.500 0.500
```

Results
For the density of states at the Fermi level, the calculation gives 1.179 states/eV per atom. Its calculated total energy is -5.0958 eV per atom. The formation energy from raw total energies comes out at 1.170 eV/atom. The volume comes out at 86 Å³/cell.

---

CaAl11Re: optimized geometry, PBE.

Cell and atoms, written as POSCAR:
```
CaAl11Re
1.0
2.652 -6.439 0.000
2.652 6.439 0.000
-2.586 0.000 6.595
Ca Al Re
1 11 1
direct
0.000 0.000 0.000
0.000 0.000 0.500
0.000 0.500 0.000
0.019 0.365 0.361
0.288 0.504 0.779
0.365 0.019 0.361
0.496 0.712 0.221
0.500 0.000 0.000
0.504 0.288 0.779
0.635 0.981 0.639
0.712 0.496 0.221
0.981 0.635 0.639
0.500 0.500 0.500
```

Results
For the density of states at the Fermi level, the calculation gives 0.405 states/eV per atom. Its calculated total energy is -4.4374 eV per atom. The volume comes out at 225 Å³/cell. The formation energy is -0.16 eV per atom.

---

Pm2Pr6NdY: optimized geometry, PBE.

Cell and atoms, written as POSCAR:
```
Pm2Pr6NdY
1.0
4.663 -7.773 0.000
4.663 7.773 0.000
-1.467 0.000 9.851
Pm Pr Nd Y
4 12 2 2
direct
0.198 0.296 0.043
0.296 0.198 0.543
0.704 0.802 0.457
0.802 0.704 0.957
0.014 0.569 0.187
0.117 0.752 0.554
0.248 0.883 0.946
0.295 0.505 0.380
0.431 0.986 0.313
0.495 0.705 0.120
0.505 0.295 0.880
0.569 0.014 0.687
0.705 0.495 0.620
0.752 0.117 0.054
0.883 0.248 0.446
0.986 0.431 0.813
0.021 0.979 0.250
0.979 0.021 0.750
0.409 0.591 0.750
0.591 0.409 0.250
```

Results
For the density of states at the Fermi level, the calculation gives 1.491 states/eV per atom. Its calculated total energy is -4.8342 eV per atom. The volume comes out at 714 Å³/cell. The formation energy is 0.11 eV per atom.

---

Cr3CuSi: optimized geometry, PBE.

Cell and atoms, written as POSCAR:
```
Cr3CuSi
1.0
4.449 0.000 0.000
0.000 4.449 0.000
0.000 0.000 4.449
Cr Cu Si
3 1 1
direct
0.000 0.000 0.500
0.000 0.500 0.000
0.500 0.000 0.000
0.500 0.500 0.500
0.000 0.000 0.000
```

Results
For the density of states at the Fermi level, the calculation gives 1.365 states/eV per atom. Its calculated total energy is -6.5645 eV per atom. The formation energy from raw total energies comes out at 1.113 eV/atom. The volume comes out at 88 Å³/cell.

---

ErSc6Tl: optimized geometry, PBE.

Cell and atoms, written as POSCAR:
```
ErSc6Tl
1.0
4.577 0.000 0.000
0.000 4.577 0.000
0.000 0.000 9.416
Er Sc Tl
1 6 1
direct
0.000 0.000 0.000
0.000 0.500 0.256
0.000 0.500 0.744
0.500 0.000 0.256
0.500 0.000 0.744
0.500 0.500 0.000
0.500 0.500 0.500
0.000 0.000 0.500
```

Results
For the density of states at the Fermi level, the calculation gives 1.577 states/eV per atom. Its calculated total energy is -5.6713 eV per atom. The volume comes out at 197 Å³/cell. The formation energy is -0.06 eV per atom.

---

Rb2PrScSe4: optimized geometry, PBE.

Cell and atoms, written as POSCAR:
```
Rb2PrScSe4
1.0
7.336 0.000 0.000
0.000 4.236 0.000
-2.440 0.000 7.986
Rb Pr Sc Se
2 1 1 4
direct
0.000 0.000 0.000
0.500 0.500 0.000
0.000 0.500 0.500
0.500 0.000 0.500
0.253 0.000 0.698
0.288 0.500 0.310
0.712 0.500 0.690
0.747 0.000 0.302
```

Results
For the density of states at the Fermi level, the calculation gives 0.000 states/eV per atom. Its calculated total energy is -5.0079 eV per atom. The formation energy from raw total energies comes out at -1.635 eV/atom. The volume comes out at 248 Å³/cell.

---

HoSc3Pd12: optimized geometry, PBE.

Cell and atoms, written as POSCAR:
```
HoSc3Pd12
1.0
4.037 0.000 0.000
0.000 4.037 0.000
0.000 0.000 16.129
Ho Sc Pd
1 3 12
direct
0.000 0.000 0.000
0.000 0.000 0.253
0.000 0.000 0.500
0.000 0.000 0.747
0.000 0.500 0.131
0.000 0.500 0.377
0.000 0.500 0.623
0.000 0.500 0.869
0.500 0.000 0.131
0.500 0.000 0.377
0.500 0.000 0.623
0.500 0.000 0.869
0.500 0.500 0.000
0.500 0.500 0.254
0.500 0.500 0.500
0.500 0.500 0.746
```

Results
For the density of states at the Fermi level, the calculation gives 0.868 states/eV per atom. Its calculated total energy is -6.2181 eV per atom. The volume comes out at 263 Å³/cell. The formation energy is -0.85 eV per atom.

---

ReNi2Te: optimized geometry, PBE.

Cell and atoms, written as POSCAR:
```
ReNi2Te
1.0
3.207 0.000 0.000
0.000 3.207 0.000
0.000 0.000 5.664
Re Ni Te
1 2 1
direct
0.000 0.000 0.000
0.000 0.000 0.552
0.500 0.500 0.761
0.500 0.500 0.294
```

Results
For the density of states at the Fermi level, the calculation gives 1.088 states/eV per atom. Its calculated total energy is -6.4142 eV per atom. The formation energy from raw total energies comes out at 0.374 eV/atom. The volume comes out at 58 Å³/cell.

---

PuHgBr2: optimized geometry, PBE.

Cell and atoms, written as POSCAR:
```
PuHgBr2
1.0
2.031 1.172 10.473
-2.031 1.172 10.473
0.000 -2.345 10.473
Pu Hg Br
1 1 2
direct
0.000 0.000 0.000
0.833 0.833 0.833
0.391 0.391 0.391
0.609 0.609 0.609
```

Results
For the density of states at the Fermi level, the calculation gives 2.285 states/eV per atom. Its calculated total energy is -5.5481 eV per atom. The formation energy from raw total energies comes out at -1.053 eV/atom. The volume comes out at 150 Å³/cell.

---

Mn2ReTc2: optimized geometry, PBE.

Cell and atoms, written as POSCAR:
```
Mn2ReTc2
1.0
-1.891 1.891 4.945
1.891 -1.891 4.945
1.891 1.891 -4.945
Mn Re Tc
2 1 2
direct
0.100 0.100 0.000
0.900 0.900 0.000
0.500 0.500 0.000
0.250 0.750 0.500
0.750 0.250 0.500
```

Results
For the density of states at the Fermi level, the calculation gives 1.386 states/eV per atom. Its calculated total energy is -9.7500 eV per atom. The volume comes out at 71 Å³/cell. The formation energy is 0.55 eV per atom.

---

TaAg2MoRu: optimized geometry, PBE.

Cell and atoms, written as POSCAR:
```
TaAg2MoRu
1.0
4.998 0.000 0.000
0.000 4.998 0.000
0.000 0.000 4.582
Ta Ag Mo Ru
1 2 1 1
direct
0.000 0.000 0.000
0.000 0.500 0.500
0.500 0.000 0.500
0.500 0.500 0.000
0.000 0.000 0.500
```

Results
For the density of states at the Fermi level, the calculation gives 0.859 states/eV per atom. Its calculated total energy is -5.8741 eV per atom. The volume comes out at 114 Å³/cell. The formation energy is 1.66 eV per atom.

---

Tb2Ga2Pd5Au: optimized geometry, PBE.

Cell and atoms, written as POSCAR:
```
Tb2Ga2Pd5Au
1.0
9.790 0.000 0.000
0.000 9.790 0.000
0.000 0.000 3.788
Tb Ga Pd Au
4 4 10 2
direct
0.178 0.322 0.000
0.322 0.822 0.000
0.678 0.178 0.000
0.822 0.678 0.000
0.120 0.620 0.000
0.380 0.120 0.000
0.620 0.880 0.000
0.880 0.380 0.000
0.000 0.500 0.500
0.064 0.793 0.500
0.207 0.064 0.500
0.293 0.564 0.500
0.436 0.293 0.500
0.500 0.000 0.500
0.564 0.707 0.500
0.707 0.436 0.500
0.793 0.936 0.500
0.936 0.207 0.500
0.000 0.000 0.000
0.500 0.500 0.000
```

Results
For the density of states at the Fermi level, the calculation gives 0.629 states/eV per atom. Its calculated total energy is -5.1517 eV per atom. The volume comes out at 363 Å³/cell. The formation energy is -0.70 eV per atom.